Record 1
# BaHgW2

A relaxed structure of BaHgW2 (PBE-GGA, Alexandria via LeMat-Bulk).

abc: 2.901 2.901 10.332
angles: 90.00 90.00 90.00
Positions (direct):
Hg 0.500 0.500 0.750
Ba 0.500 0.500 0.250
W 0.000 0.000 0.535
W 0.000 0.000 0.965

Summary:
Formation energy from the elements   1.321 eV/atom
Space group   P4/mmm (123)


Record 2
# Ba2HgW

A relaxed structure of Ba2HgW (PBE-GGA, Alexandria via LeMat-Bulk).

abc: 9.163 5.851 3.944
angles: 89.96 64.56 129.66
Each line ends with the local moment (μB).
Positions (direct):
Ba 0.000 0.000 0.000  0.01
Hg 0.000 0.500 0.500  -0.03
Ba 0.500 0.000 0.500  0.01
W 0.500 0.500 0.000  2.33

Summary:
Formation energy from the elements   0.816 eV/atom
Space group   P4/mmm (123)


Record 3
# BaHgW3

A relaxed structure of BaHgW3 (PBE-GGA, Alexandria via LeMat-Bulk).

abc: 5.032 5.032 5.032
angles: 90.00 90.00 90.00
Positions (direct):
W 0.000 0.000 0.500
W 0.000 0.500 0.000
W 0.500 0.000 0.000
Hg 0.500 0.500 0.500
Ba 0.000 0.000 0.000

Summary:
Excess energy over the best structure of this formula in the dataset   1007 meV per atom
Formation energy from the elements   3.760 eV/atom
Space group   Pm-3m (221)


Record 4
# Ba2HgW

A relaxed structure of Ba2HgW (PBE-GGA, Alexandria via LeMat-Bulk).

abc: 10.952 10.952 10.952
angles: 19.68 19.68 19.68
Each line ends with the local moment (μB).
Positions (direct):
Ba 0.493 0.493 0.493  -0.01
Ba 0.007 0.007 0.007  -0.01
Hg 0.250 0.250 0.250  -0.04
W 0.750 0.750 0.750  1.24

Summary:
Formation energy from the elements   0.956 eV/atom
Space group   R-3m (166)


Record 5
# Ba2HgW

A relaxed structure of Ba2HgW (PBE-GGA, Alexandria via LeMat-Bulk).

abc: 3.815 3.812 9.533
angles: 90.00 90.00 90.00
Each line ends with the local moment (μB).
Positions (direct):
Ba 0.000 0.000 0.920  0.00
W 0.500 0.500 0.669  0.42
Ba 0.500 0.500 0.336  -0.01
Hg 0.000 0.000 0.575  0.01

Summary:
Formation energy from the elements   0.756 eV/atom
Space group   P4mm (99)


Record 6
# BaHg2W

A relaxed structure of BaHg2W (PBE-GGA, Alexandria via LeMat-Bulk).

abc: 5.443 5.443 10.036
angles: 74.26 74.26 90.00
Each line ends with the local moment (μB).
Positions (direct):
Ba 0.250 0.750 0.500  0.00
Hg 0.767 0.125 0.250  0.00
Hg 0.375 0.233 0.750  0.00
Hg 0.983 0.625 0.250  0.00
W 0.750 0.250 0.500  1.52
Hg 0.875 0.017 0.750  0.00
W 0.000 0.000 0.000  1.51
Ba 0.500 0.500 0.000  0.00

Summary:
Excess energy over the best structure of this formula in the dataset   256 meV per atom
Formation energy from the elements   0.864 eV/atom
Space group   I-42d (122)